# 1
Ba2Al3Ga4Au GGA-PBE optimized geometry; symmetry = P-4m2, No. 115; magnetic moment = 0.0 μB per formula unit; E_form = -0.408 eV/atom
1.0
-3.189 -2.300 -2.344
0.177 -3.383 3.079
-7.926 4.965 5.912
Ga Al Ba Au
4 3 2 1
direct
0.000 0.500 0.369 Ga
0.500 0.500 0.000 Ga
0.000 0.000 0.000 Ga
0.500 0.000 0.631 Ga
0.000 0.500 0.127 Al
0.500 0.000 0.873 Al
0.000 0.000 0.500 Al
0.000 0.500 0.754 Ba
0.500 0.000 0.246 Ba
0.500 0.500 0.500 Au

# 2
CdAsCl GGA-PBE optimized geometry; symmetry = I4mm, No. 107; magnetic moment = 0.0 μB per formula unit; relative energy among the computed polymorphs = 471.7 meV/atom; formation energy (no corrections) = -0.077 eV per atom
1.0
-3.588 5.630 -3.550
-5.807 1.823 -4.486
3.396 -3.413 5.830
Cl As Cd
1 1 1
direct
0.709 0.709 0.000 Cl
0.966 0.966 0.000 As
0.325 0.325 0.000 Cd

# 3
Al2FeBr GGA-PBE optimized geometry; symmetry = C2/m, No. 12; magnetic moment = 2.5 μB per formula unit; relative energy among the computed polymorphs = 430.4 meV/atom; formation energy (no corrections) = 0.353 eV per atom
1.0
-2.207 4.959 -1.096
-4.489 3.020 -1.181
-1.355 1.411 4.185
Al Fe Br
2 1 1
direct
0.542 0.542 0.479 Al
0.958 0.958 0.021 Al
0.250 0.250 0.250 Fe
0.750 0.750 0.750 Br

# 4
Ho8Ag3Sb2 GGA-PBE optimized geometry; symmetry = C2/m, No. 12; magnetic moment = 0.0 μB per formula unit; formation energy (no corrections) = -0.291 eV per atom
1.0
-1.250 5.268 -2.874
-5.375 -3.978 -4.955
-2.666 3.208 7.306
Ag Ho Sb
3 8 2
direct
0.000 0.172 0.000 Ag
0.500 0.000 0.000 Ag
0.000 0.828 0.000 Ag
0.646 0.591 0.770 Ho
0.146 0.411 0.823 Ho
0.354 0.409 0.230 Ho
0.646 0.178 0.770 Ho
0.854 0.589 0.177 Ho
0.905 0.181 0.363 Ho
0.354 0.822 0.230 Ho
0.095 0.819 0.637 Ho
0.583 0.764 0.529 Sb
0.417 0.236 0.471 Sb